{
  "formula": "Ce2AgF11",
  "functional": "PBE-GGA",
  "state": "relaxed",
  "final_energy_ev_per_cell": -151.44,
  "sg": "Ibam (72)",
  "formation_energy_uncorrected_kj_per_mol_fu": -3900,
  "lattice_angstrom": [[-4.2739, 5.4781, 5.4492], [4.2739, -5.4781, 5.4492], [4.2739, 5.4781, -5.4492]],
  "species": ["Ce", "Ce", "Ce", "Ce", "Ag", "Ag", "F", "F", "F", "F", "F", "F", "F", "F", "F", "F", "F", "F", "F", "F", "F", "F", "F", "F", "F", "F", "F", "F"],
  "fractional_positions": [[0.1988, 0.0750, 0.2738], [0.3012, 0.5750, 0.8762], [0.6988, 0.4250, 0.1238], [0.8012, 0.9250, 0.7262], [0.2500, 0.7500, 0.5000], [0.7500, 0.2500, 0.5000], [0.0000, 0.0000, 0.0000], [0.0032, 0.3816, 0.6319], [0.0285, 0.0035, 0.7024], [0.1989, 0.4965, 0.0250], [0.2020, 0.8091, 0.0111], [0.2502, 0.6286, 0.6319], [0.2498, 0.8816, 0.3784], [0.2980, 0.3091, 0.6071], [0.3011, 0.3261, 0.2976], [0.4715, 0.1739, 0.9750], [0.4968, 0.1286, 0.3784], [0.5000, 0.5000, 0.0000], [0.5032, 0.8714, 0.6216], [0.5285, 0.8261, 0.0250], [0.6989, 0.6739, 0.7024], [0.7020, 0.6909, 0.3929], [0.7502, 0.1184, 0.6216], [0.7498, 0.3714, 0.3681], [0.7980, 0.1909, 0.9889], [0.8011, 0.5035, 0.9750], [0.9715, 0.9965, 0.2976], [0.9968, 0.6184, 0.3681]]
}